AcEuGdDy | PBE | optimized geometry

Values from the calculation:
**Density of states at the Fermi level**: 2.262 states/eV/atom
**Energy of formation**: 148 meV/atom
**Space group**: F-43m

Cell lengths 5.9484, 5.9484, 5.9484 Å; angles 60.00, 60.00, 60.00 degrees
Each line ends with the local moment (μB).
Fractional coordinates of all 4 atoms:
Eu: 0.0000 0.0000 0.0000  -6.85
Ac: 0.2500 0.2500 0.2500  0.03
Gd: 0.5000 0.5000 0.5000  7.32
Dy: 0.7500 0.7500 0.7500  0.12


Pr6Sb3AsP2 | PBE | optimized geometry

Values from the calculation:
**Density of states at the Fermi level**: 0.167 states/eV/atom
**Space group**: C2/m
**DFT total energy**: -72.44 eV per cell

Cell lengths 4.3771, 8.8354, 9.8600 Å; angles 103.83, 102.82, 90.00 degrees
Fractional coordinates of all 12 atoms:
Pr: 0.3360 0.9031 0.6721
Pr: 0.6719 0.5707 0.3438
Pr: 0.6640 0.0969 0.3279
Pr: 0.0059 0.2427 0.0118
Pr: 0.9941 0.7573 0.9882
Pr: 0.3281 0.4293 0.6562
Sb: 0.5000 0.5000 0.0000
Sb: 0.8343 0.1676 0.6685
Sb: 0.1657 0.8324 0.3315
As: 0.5000 0.0000 0.0000
P: 0.8327 0.6662 0.6655
P: 0.1673 0.3338 0.3345